VASP calculation (PBE) on As2Au2Se after structural relaxation.

Lattice parameters (Å, degrees): 7.6286 7.6286 3.6019 90.00 90.00 90.00
Fractional coordinates of all 10 atoms:
As 0.2998 0.7998 0.0000
As 0.2002 0.2998 0.0000
As 0.7998 0.7002 0.0000
As 0.7002 0.2002 0.0000
Se 0.5000 0.5000 0.0000
Se 0.0000 0.0000 0.0000
Au 0.3738 0.1262 0.5000
Au 0.1262 0.6262 0.5000
Au 0.8738 0.3738 0.5000
Au 0.6262 0.8738 0.5000

Results
Energy relative to the lowest polymorph listed for this composition = 0 meV per atom
SG = P4/mbm, No. 127

VASP calculation (PBE) on AsAu2Se after structural relaxation.

Lattice parameters (Å, degrees): 6.6220 6.6220 6.6220 34.19 34.19 34.19
Fractional coordinates of all 4 atoms:
Au 0.5030 0.5030 0.5030
Au 0.9970 0.9970 0.9970
As 0.2500 0.2500 0.2500
Se 0.7500 0.7500 0.7500

Results
SG = R-3m, No. 166

VASP calculation (PBE) on AsAuSe after structural relaxation.

Lattice parameters (Å, degrees): 4.7694 6.0258 6.0609 92.08 106.42 108.82
Fractional coordinates of all 6 atoms:
Au 0.1759 0.9144 0.6736
Au 0.4733 0.3856 0.6181
Se 0.6965 0.4779 0.0593
Se 0.5191 0.9133 0.1822
As 0.2796 0.2308 0.1910
As 0.6058 0.8240 0.5772

Results
SG = P1, No. 1

VASP calculation (PBE) on AsAu2Se after structural relaxation.

Lattice parameters (Å, degrees): 2.8612 2.8612 9.6886 90.00 90.00 90.00
Fractional coordinates of all 4 atoms:
As 0.5000 0.5000 0.7855
Au 0.5000 0.5000 0.2329
Au 0.0000 0.0000 0.0023
Se 0.0000 0.0000 0.4792

Results
SG = P4mm, No. 99

VASP calculation (PBE) on AsAuSe after structural relaxation.

Lattice parameters (Å, degrees): 8.5150 8.5150 8.5150 161.32 161.32 26.54
Fractional coordinates of all 3 atoms:
Se 0.6697 0.6697 0.0000
As 0.9827 0.9827 0.0000
Au 0.3475 0.3475 0.0000

Results
SG = I4mm, No. 107

VASP calculation (PBE) on AsAu2Se after structural relaxation.

Lattice parameters (Å, degrees): 5.6877 5.6877 5.6877 139.00 139.00 59.38
Fractional coordinates of all 4 atoms:
Au 0.0000 0.0000 0.0000
Au 0.5000 0.5000 0.0000
As 0.7500 0.2500 0.5000
Se 0.2500 0.7500 0.5000

Results
SG = I4/mmm, No. 139

| no. | total moment (μB per formula unit) | DOS(E_F) (states/eV per atom) | formation energy without anion corrections (meV per atom) |
| --- | --- | --- | --- |
| 1 | 0.0 | 0.5280 | 260 |
| 2 | 0.0 | 0.3292 | 79 |
| 3 | 0.0 | 0.3362 | 69 |
| 4 | 0.0 | 0.1370 | 239 |
| 5 | 0.0 | 0.7672 | 340 |
| 6 | 0.0 | 0.5613 | 310 |